Computed, not measured: a relaxed Au2SeO crystal at the PBE level of DFT.

a b c (Å): 4.496 4.496 4.496
angles (deg): 60.00 60.00 60.00
Positions (direct):
O  0.000  0.000  0.000
Au  0.750  0.750  0.750
Au  0.250  0.250  0.250
Se  0.500  0.500  0.500

E_form (uncorrected)   0.5808 eV/atom
Crystal system   cubic
Offset from the most stable computed form   277.1 meV per atom
Theoretical density   12.63 g/cm3



Computed, not measured: a relaxed Rb2TlBr6 crystal at the PBE level of DFT.

a b c (Å): 6.672 7.660 8.978
angles (deg): 115.25 111.88 90.00
Site moments in Bohr magnetons follow the coordinates.
Positions (direct):
Rb  0.668  0.669  0.339  0.01
Br  0.133  0.884  0.265  0.00
Br  0.500  0.182  0.000  0.34
Br  0.867  0.619  0.735  0.00
Br  0.500  0.818  0.000  0.34
Br  0.133  0.381  0.265  0.00
Br  0.867  0.116  0.735  0.00
Tl  0.000  0.000  0.000  0.00
Rb  0.332  0.331  0.661  0.01

E_form (uncorrected)   -0.8704 eV/atom
Crystal system   monoclinic
Theoretical density   3.75 g/cm3



Computed, not measured: a relaxed HfBeNb2Fe crystal at the PBE level of DFT.

a b c (Å): 4.947 4.371 4.947
angles (deg): 90.00 90.00 90.00
Site moments in Bohr magnetons follow the coordinates.
Positions (direct):
Hf  0.000  0.000  0.000  -0.11
Fe  0.000  0.500  0.000  1.65
Nb  0.000  0.000  0.500  -0.10
Be  0.500  0.500  0.500  0.00
Nb  0.500  0.000  0.000  -0.19

Crystal system   tetragonal
Energy of formation from the pure elements   1.8588 eV per atom
Theoretical density   6.66 g/cm3



Computed, not measured: a relaxed ScHgB crystal at the PBE level of DFT.

a b c (Å): 4.138 4.138 4.138
angles (deg): 60.00 60.00 60.00
Positions (direct):
Sc  0.250  0.250  0.250
Hg  0.750  0.750  0.750
B  0.000  0.000  0.000

Crystal system   cubic
Offset from the most stable computed form   471.2 meV per atom
Energy of formation from the pure elements   -0.0408 eV per atom
Theoretical density   8.49 g/cm3